Below is an optimized crystal structure of MnHPdNO, with properties calculated at the PBE+U level.

Values from the calculation:
DOS(E_F) (states/eV/f.u.): 1.46
Energy (eV/atom): -6.22
V (Å³/f.u.): 54

The structure in CIF format:
```
data_MnHPdNO
_space_group_name_H-M_alt 'C 1 m 1'
_space_group_IT_number 8
_cell_length_a 4.121
_cell_length_b 4.079
_cell_length_c 6.662
_cell_angle_alpha 90.00
_cell_angle_beta 106.57
_cell_angle_gamma 90.00
loop_
_space_group_symop_operation_xyz
'x,y,z'
'x,-y,z'
'x+1/2,y+1/2,z'
'x+1/2,-y+1/2,z'
loop_
_atom_site_label
_atom_site_fract_x
_atom_site_fract_y
_atom_site_fract_z
Mn1 0.000 0.000 0.000
H1 0.174 0.000 0.678
Pd1 0.202 0.500 0.359
N1 0.024 0.500 0.048
O1 0.438 0.500 0.681
```